A PBEsol-optimized structure of Rb2TcOs, computed with meta-GGA SCAN.

Calculated values
The space-group type is Fm-3m (225). Its energy relative to the elements is 2.552 eV per atom. Its crystal system is cubic. The density of states at the Fermi level is 4.15 states/eV/f.u.

a = 5.3666 Å, b = 5.3666 Å, c = 5.3666 Å
α = 60.00°, β = 60.00°, γ = 60.00°
Positions (direct):
Os1 0.5000 0.5000 0.5000
Tc1 0.0000 0.0000 0.0000
Rb1 0.2500 0.2500 0.2500
Rb2 0.7500 0.7500 0.7500